First-principles (GGA-PBE) data for a relaxed CsTlIn2Tc crystal, as listed in Alexandria via LeMat-Bulk.

Its energy relative to the elements is 0.081 eV/atom. The calculation puts the total energy at -3.7316 eV per atom. The spin magnetization comes out at 0.00 Bohr magnetons per cell.

```
CsTlIn2Tc
1.0
5.3597 0.0000 0.0000
0.0000 5.3597 0.0000
0.0000 0.0000 5.4601
Cs Tl In Tc
1 1 2 1
direct
0.0000 0.0000 0.0000
0.5000 0.5000 0.0000
0.0000 0.5000 0.5000
0.5000 0.0000 0.5000
0.5000 0.5000 0.5000
```